Y2ZnRu2: optimized geometry, PBEsol.

- Crystal system: tetragonal
- Size of the total moment: 0.01 μB/cell
- Calculated formation energy: -241 meV per atom
- D(E_F): 10.64 states/eV/cell

Structure (POSCAR):
```
Y2ZnRu2
1.0
-3.192 -1.070 2.431
1.016 -6.516 -1.536
4.211 -0.586 5.270
Y Ru Zn
4 4 2
Direct
0.500 0.676 0.824
0.500 0.324 0.176
0.500 0.176 0.676
0.500 0.824 0.324
0.000 0.866 0.634
0.000 0.366 0.866
0.000 0.634 0.134
0.000 0.134 0.366
0.000 0.000 0.000
0.000 0.500 0.500
```

---

LuGaPd: optimized geometry, PBEsol.

- Crystal system: orthorhombic
- Size of the total moment: 0.00 μB/cell
- Calculated formation energy: -931 meV per atom
- D(E_F): 5.50 states/eV/cell

Structure (POSCAR):
```
LuGaPd
1.0
-3.981 -1.402 1.069
-0.742 -2.555 -6.115
2.914 -6.482 2.355
Pd Lu Ga
4 4 4
Direct
0.750 0.777 0.903
0.250 0.223 0.097
0.250 0.723 0.403
0.750 0.277 0.597
0.250 0.984 0.699
0.750 0.516 0.199
0.750 0.016 0.301
0.250 0.484 0.801
0.250 0.323 0.425
0.750 0.177 0.925
0.250 0.823 0.075
0.750 0.677 0.575
```

---

BeRuS2I: optimized geometry, PBEsol.

- Crystal system: tetragonal
- Size of the total moment: 0.00 μB/cell
- Uncorrected formation energy: 0.64 eV/atom
- D(E_F): 3.84 states/eV/cell

Structure (POSCAR):
```
BeRuS2I
1.0
-3.569 -1.220 2.285
0.639 -4.185 -1.236
3.241 -0.864 4.600
I Be Ru S
1 1 1 2
Direct
0.000 0.000 0.500
0.500 0.500 0.500
0.000 0.000 0.000
0.500 0.000 0.000
0.000 0.500 0.000
```

---

TlCd2As: optimized geometry, PBEsol.

- Crystal system: orthorhombic
- Size of the total moment: 0.00 μB/cell
- Offset from the most stable computed form: 0.0 kJ/mol of atoms
- Calculated formation energy: 90 meV per atom
- D(E_F): 1.45 states/eV/cell

Structure (POSCAR):
```
TlCd2As
1.0
-0.001 1.045 -3.628
3.607 -1.896 -0.548
-4.754 -4.758 0.596
Cd As Tl
2 1 1
Direct
0.748 0.248 0.497
0.940 0.940 0.880
0.263 0.763 0.526
0.549 0.549 0.097
```

---

ScIrRh2: optimized geometry, PBEsol.

- Crystal system: trigonal
- Size of the total moment: 0.00 μB/cell
- Calculated formation energy: -86 meV per atom
- D(E_F): 4.11 states/eV/cell

Structure (POSCAR):
```
ScIrRh2
1.0
-1.122 0.678 -2.454
-0.625 -1.990 -1.841
-8.659 -1.137 2.069
Ir Rh Sc
1 2 1
Direct
0.000 0.000 0.000
0.251 0.251 0.246
0.749 0.749 0.754
0.500 0.500 0.500
```

---

ReNi: optimized geometry, PBEsol.

- Crystal system: orthorhombic
- Size of the total moment: 0.00 μB/cell
- Calculated formation energy: -34 meV per atom
- D(E_F): 3.42 states/eV/cell

Structure (POSCAR):
```
ReNi
1.0
-1.804 1.617 0.969
-1.800 -3.220 2.024
2.639 0.788 3.598
Re Ni
2 2
Direct
0.500 0.250 0.834
0.500 0.750 0.166
0.000 0.750 0.652
0.000 0.250 0.348
```

---

Li3Hg: optimized geometry, PBEsol.

- Crystal system: hexagonal
- Size of the total moment: 0.00 μB/cell
- Offset from the most stable computed form: 1.1 kJ/mol of atoms
- Calculated formation energy: -296 meV per atom
- D(E_F): 2.63 states/eV/cell

Structure (POSCAR):
```
Li3Hg
1.0
4.695 0.000 0.000
0.000 5.796 0.000
0.000 -2.898 5.019
Li Hg
6 2
Direct
0.250 0.829 0.171
0.250 0.829 0.657
0.750 0.171 0.829
0.750 0.171 0.343
0.750 0.657 0.829
0.250 0.343 0.171
0.750 0.667 0.333
0.250 0.333 0.667
```

---

Zn2CoMo: optimized geometry, PBEsol.

- Crystal system: tetragonal
- Size of the total moment: 0.00 μB/cell
- Offset from the most stable computed form: 0.0 kJ/mol of atoms
- Calculated formation energy: -29 meV per atom
- D(E_F): 2.45 states/eV/cell

Structure (POSCAR):
```
Zn2CoMo
1.0
2.729 0.000 0.000
0.000 2.729 0.000
0.000 0.000 6.934
Co Zn Mo
1 2 1
Direct
0.000 0.000 0.495
0.000 0.000 0.008
0.500 0.500 0.270
0.500 0.500 0.728
```

---

Ni3HgS: optimized geometry, PBEsol.

- Crystal system: cubic
- Size of the total moment: 0.00 μB/cell
- Offset from the most stable computed form: 0.0 kJ/mol of atoms
- Uncorrected formation energy: -0.05 eV/atom
- D(E_F): 2.18 states/eV/cell

Structure (POSCAR):
```
Ni3HgS
1.0
-2.827 -0.959 -2.836
2.992 -0.803 -2.712
0.079 -3.923 1.248
Ni Hg S
3 1 1
Direct
0.000 0.000 0.500
0.000 0.500 0.000
0.500 0.000 0.000
0.500 0.500 0.500
0.000 0.000 0.000
```

---

Ag7Pt: optimized geometry, PBEsol.

- Crystal system: cubic
- Size of the total moment: 0.00 μB/cell
- Calculated formation energy: -10 meV per atom
- D(E_F): 2.10 states/eV/cell

Structure (POSCAR):
```
Ag7Pt
1.0
5.685 0.000 0.000
2.843 4.924 0.000
2.843 1.641 4.642
Ag Pt
7 1
Direct
0.500 0.000 0.000
0.500 0.500 0.000
0.500 0.500 0.500
0.000 0.000 0.500
0.000 0.500 0.000
0.000 0.500 0.500
0.500 0.000 0.500
0.000 0.000 0.000
```

---

Y2InTe: optimized geometry, PBEsol.

- Crystal system: trigonal
- Size of the total moment: 0.00 μB/cell
- Offset from the most stable computed form: 0.0 kJ/mol of atoms
- Uncorrected formation energy: -0.91 eV/atom
- D(E_F): 1.74 states/eV/cell

Structure (POSCAR):
```
Y2InTe
1.0
4.077 0.000 0.000
2.038 3.531 0.000
2.038 1.177 7.841
Y Te In
2 1 1
Direct
0.248 0.248 0.255
0.752 0.752 0.745
0.500 0.500 0.500
0.000 0.000 0.000
```

---

MgAg3Au: optimized geometry, PBEsol.

- Crystal system: cubic
- Size of the total moment: 0.00 μB/cell
- Calculated formation energy: 591 meV per atom
- D(E_F): 1.79 states/eV/cell

Structure (POSCAR):
```
MgAg3Au
1.0
-2.307 0.902 -4.379
-4.305 -1.775 1.902
-1.204 4.619 1.586
Ag Au Mg
3 1 1
Direct
0.000 0.000 0.500
0.000 0.500 0.000
0.500 0.000 0.000
0.000 0.000 0.000
0.500 0.500 0.500
```

---

BeIn2Cu: optimized geometry, PBEsol.

- Crystal system: tetragonal
- Size of the total moment: 0.00 μB/cell
- Calculated formation energy: 196 meV per atom
- D(E_F): 1.57 states/eV/cell

Structure (POSCAR):
```
BeIn2Cu
1.0
-1.706 -2.275 -0.795
1.795 -1.849 1.442
-4.288 0.933 6.536
Be Cu In
1 1 2
Direct
0.000 0.000 0.565
0.500 0.500 0.686
0.500 0.500 0.308
0.000 0.000 0.941
```

---

LiPmAu2: optimized geometry, PBEsol.

- Crystal system: cubic
- Size of the total moment: 0.00 μB/cell
- Calculated formation energy: -638 meV per atom
- D(E_F): 2.30 states/eV/cell

Structure (POSCAR):
```
LiPmAu2
1.0
4.874 0.000 0.000
2.437 4.221 0.000
2.437 1.407 3.979
Au Pm Li
2 1 1
Direct
0.750 0.750 0.750
0.250 0.250 0.250
0.000 0.000 0.000
0.500 0.500 0.500
```

---

BeCdMo2: optimized geometry, PBEsol.

- Crystal system: orthorhombic
- Size of the total moment: 0.00 μB/cell
- Offset from the most stable computed form: 0.0 kJ/mol of atoms
- Calculated formation energy: 277 meV per atom
- D(E_F): 1.59 states/eV/cell

Structure (POSCAR):
```
BeCdMo2
1.0
2.704 0.002 0.000
-0.791 2.586 0.000
0.000 0.000 8.485
Mo Be Cd
2 1 1
Direct
0.000 0.000 0.983
0.500 0.500 0.729
0.000 0.000 0.516
0.500 0.500 0.271
```

---

Li2YW: optimized geometry, PBEsol.

- Crystal system: trigonal
- Size of the total moment: 0.00 μB/cell
- Offset from the most stable computed form: 9.0 kJ/mol of atoms
- Calculated formation energy: 658 meV per atom
- D(E_F): 3.53 states/eV/cell

Structure (POSCAR):
```
Li2YW
1.0
2.851 0.000 0.000
1.425 2.469 0.000
1.425 0.823 10.710
Y W Li
1 1 2
Direct
0.000 0.000 0.000
0.500 0.500 0.500
0.242 0.242 0.275
0.758 0.758 0.725
```

---

Cs2YAuCl6: optimized geometry, PBEsol.

- Crystal system: cubic
- Size of the total moment: 0.00 μB/cell
- Uncorrected formation energy: -1.71 eV/atom
- D(E_F): 0.00 states/eV/cell

Structure (POSCAR):
```
Cs2YAuCl6
1.0
-4.800 -0.657 5.695
1.166 -5.145 5.298
2.045 2.110 6.875
Cl Cs Au Y
6 2 1 1
Direct
0.754 0.754 0.246
0.246 0.754 0.754
0.246 0.754 0.246
0.754 0.246 0.754
0.246 0.246 0.754
0.754 0.246 0.246
0.750 0.750 0.750
0.250 0.250 0.250
0.500 0.500 0.500
0.000 0.000 0.000
```

---

CoIr3: optimized geometry, PBEsol.

- Crystal system: hexagonal
- Size of the total moment: 1.96 μB/cell
- Calculated formation energy: 55 meV per atom
- D(E_F): 4.44 states/eV/cell

Structure (POSCAR):
```
CoIr3
1.0
2.692 0.000 0.000
-1.346 2.332 0.000
0.000 0.000 8.488
Co Ir
1 3
Direct
0.000 0.000 0.000
0.000 0.000 0.500
0.667 0.333 0.238
0.667 0.333 0.762
```

---

LiHfAu2: optimized geometry, PBEsol.

- Crystal system: cubic
- Size of the total moment: 0.00 μB/cell
- Calculated formation energy: -537 meV per atom
- D(E_F): 2.20 states/eV/cell

Structure (POSCAR):
```
LiHfAu2
1.0
-1.704 1.430 -3.999
2.344 -0.701 -3.867
-1.503 -3.045 -3.067
Au Hf Li
2 1 1
Direct
0.250 0.250 0.250
0.750 0.750 0.750
0.500 0.500 0.500
0.000 0.000 0.000
```

---

PrAl22O34: optimized geometry, PBEsol.

- Crystal system: triclinic
- Size of the total moment: 1.92 μB/cell
- Offset from the most stable computed form: 0.1 kJ/mol of atoms
- Uncorrected formation energy: -3.01 eV/atom
- D(E_F): 4.52 states/eV/cell

Structure (POSCAR):
```
PrAl22O34
1.0
-1.501 -3.759 8.871
10.531 2.590 2.880
-1.093 10.070 5.866
O Al Pr
68 44 2
Direct
0.639 0.475 0.099
0.361 0.525 0.901
0.044 0.326 0.711
0.903 0.107 0.102
0.593 0.141 0.898
0.093 0.392 0.900
0.547 0.571 0.715
0.705 0.802 0.289
0.594 0.644 0.899
0.201 0.304 0.291
0.140 0.724 0.099
0.196 0.551 0.294
0.593 0.907 0.900
0.304 0.947 0.706
0.804 0.449 0.706
0.404 0.592 0.102
0.953 0.179 0.285
0.544 0.068 0.711
0.217 0.608 0.500
0.095 0.657 0.898
0.351 0.778 0.890
0.955 0.926 0.292
0.407 0.093 0.100
0.359 0.024 0.901
0.717 0.892 0.500
0.455 0.678 0.292
0.140 0.225 0.100
0.641 0.976 0.099
0.148 0.973 0.111
0.544 0.827 0.706
0.297 0.448 0.712
0.908 0.841 0.101
0.295 0.198 0.711
0.407 0.859 0.102
0.456 0.173 0.294
0.044 0.570 0.706
0.905 0.343 0.102
0.799 0.696 0.709
0.406 0.356 0.101
0.649 0.222 0.110
0.907 0.608 0.100
0.047 0.821 0.715
0.149 0.472 0.110
0.860 0.775 0.900
0.453 0.429 0.285
0.203 0.053 0.289
0.852 0.027 0.889
0.092 0.159 0.899
0.703 0.552 0.288
0.797 0.947 0.711
0.649 0.723 0.111
0.097 0.893 0.898
0.851 0.528 0.890
0.545 0.322 0.708
0.860 0.276 0.901
0.596 0.408 0.898
0.456 0.932 0.289
0.956 0.674 0.289
0.300 0.699 0.709
0.204 0.803 0.289
0.696 0.053 0.294
0.283 0.108 0.500
0.956 0.430 0.294
0.351 0.277 0.889
0.783 0.392 0.500
0.045 0.074 0.708
0.700 0.301 0.291
0.796 0.197 0.711
0.176 0.513 0.948
0.298 0.947 0.216
0.451 0.428 0.785
0.674 0.262 0.948
0.549 0.572 0.215
0.203 0.805 0.783
0.824 0.487 0.052
0.703 0.553 0.784
0.001 0.751 0.998
0.500 0.500 0.000
0.274 0.164 0.351
0.324 0.238 0.050
0.826 0.986 0.051
0.722 0.337 0.649
0.550 0.820 0.217
0.326 0.738 0.052
0.500 0.000 0.000
0.949 0.427 0.795
0.278 0.663 0.351
0.779 0.911 0.351
0.999 0.249 0.002
0.551 0.075 0.206
0.048 0.322 0.216
0.297 0.447 0.216
0.227 0.589 0.649
0.726 0.836 0.649
0.773 0.411 0.351
0.049 0.070 0.216
0.702 0.053 0.784
0.798 0.695 0.215
0.797 0.195 0.217
0.051 0.573 0.205
0.174 0.014 0.949
0.449 0.925 0.794
0.951 0.930 0.784
0.450 0.180 0.783
0.950 0.179 0.784
0.221 0.089 0.649
0.548 0.321 0.216
0.676 0.762 0.950
0.952 0.678 0.784
0.202 0.305 0.785
0.050 0.821 0.216
0.452 0.679 0.784
0.500 0.000 0.500
0.000 0.500 0.500
```

---

| no. | calculated total energy (eV/atom) |
| --- | --- |
| 1 | -7.356 |
| 2 | -5.655 |
| 3 | -4.301 |
| 4 | -2.443 |
| 5 | -8.263 |
| 6 | -9.779 |
| 7 | -1.913 |
| 8 | -5.696 |
| 9 | -4.734 |
| 10 | -3.777 |
| 11 | -5.952 |
| 12 | -2.523 |
| 13 | -3.379 |
| 14 | -4.376 |
| 15 | -6.906 |
| 16 | -5.483 |
| 17 | -4.174 |
| 18 | -9.247 |
| 19 | -5.617 |
| 20 | -7.815 |